VASP calculation (PBEsol) on Si4Mo3 after structural relaxation.

* formation energy from raw total energies: -357 kJ/mol of formula units
* Fermi-level density of states: 0.27 states/eV per atom
* space-group type: I4/mmm (139)
* mass density: 7.0 g/cm³
* total DFT energy (no corrections): -62.0 eV/f.u.

Cell lengths 3.169, 3.169, 9.700 Å; angles 99.40, 99.40, 90.00 degrees
Fractional positions:
Si 0.431 0.431 0.862
Si 0.569 0.569 0.138
Si 0.859 0.859 0.717
Si 0.141 0.141 0.283
Mo 0.000 0.000 0.000
Mo 0.294 0.294 0.588
Mo 0.706 0.706 0.412

=====

VASP calculation (PBEsol) on BeH2Cl2 after structural relaxation.

* Fermi-level density of states: 0.27 states/eV per atom
* space-group type: P4/mbm (127)
* mass density: 2.6 g/cm³
* total DFT energy (no corrections): -10.9 eV/f.u.

Cell lengths 3.177, 5.735, 5.735 Å; angles 90.00, 90.00, 90.00 degrees
Fractional positions:
H 0.000 0.154 0.346
H 0.000 0.654 0.154
H 0.000 0.846 0.654
H 0.000 0.346 0.846
Cl 0.500 0.181 0.681
Cl 0.500 0.681 0.819
Cl 0.500 0.319 0.181
Cl 0.500 0.819 0.319
Be 0.000 0.500 0.500
Be 0.000 0.000 0.000

=====

VASP calculation (PBEsol) on CaCoOs2 after structural relaxation.

* formation energy: 0.640 eV per atom
* Fermi-level density of states: 1.10 states/eV per atom
* space-group type: R-3m (166)
* mass density: 13.5 g/cm³
* total DFT energy (no corrections): -31.7 eV/f.u.

Cell lengths 2.735, 2.735, 9.268 Å; angles 81.52, 81.52, 60.00 degrees
Fractional positions:
Ca 0.500 0.500 0.500
Os 0.261 0.261 0.217
Os 0.739 0.739 0.783
Co 0.000 0.000 0.000

=====

VASP calculation (PBEsol) on In2GaO after structural relaxation.

* formation energy from raw total energies: 15 kJ/mol of formula units
* Fermi-level density of states: 0.82 states/eV per atom
* space-group type: Fm-3m (225)
* mass density: 7.3 g/cm³
* total DFT energy (no corrections): -14.4 eV/f.u.

Cell lengths 4.670, 4.670, 4.670 Å; angles 60.00, 60.00, 60.00 degrees
Fractional positions:
O 0.000 0.000 0.000
In 0.250 0.250 0.250
In 0.750 0.750 0.750
Ga 0.500 0.500 0.500

=====

VASP calculation (PBEsol) on SrTlTe2 after structural relaxation.

* formation energy from raw total energies: -344 kJ/mol of formula units
* Fermi-level density of states: 0.35 states/eV per atom
* space-group type: P4/mmm (123)
* mass density: 6.7 g/cm³
* total DFT energy (no corrections): -15.1 eV/f.u.

Cell lengths 4.559, 4.559, 6.551 Å; angles 90.00, 90.00, 90.00 degrees
Fractional positions:
Te 0.500 0.500 0.375
Te 0.000 0.000 0.875
Tl 0.000 0.000 0.375
Sr 0.500 0.500 0.875

=====

VASP calculation (PBEsol) on KMnSi2 after structural relaxation.

* formation energy from raw total energies: 231 kJ/mol of formula units
* Fermi-level density of states: 0.55 states/eV per atom
* space-group type: Imm2 (44)
* mass density: 3.2 g/cm³
* total DFT energy (no corrections): -20.0 eV/f.u.

Cell lengths 2.707, 5.530, 6.009 Å; angles 117.40, 103.02, 90.00 degrees
Fractional positions:
Si 0.702 0.202 0.404
Si 0.998 0.998 0.997
K 0.495 0.495 0.990
Mn 0.305 0.805 0.609

=====

Question: Which of these has the lowest total DFT energy (no corrections)?
Answer: Si4Mo3